# Na5AgO3 PBE-GGA optimized geometry
# - E_tot (eV per atom) = -3.704
# - formation energy (no corrections) (eV per atom) = -1.00
# - DOS(E_F) (states/eV per cell) = 4.42
data_Na5AgO3
_cell_length_a 10.3807
_cell_length_b 7.5322
_cell_length_c 8.3227
_cell_angle_alpha 90.00
_cell_angle_beta 110.30
_cell_angle_gamma 90.00
_space_group_name_H-M_alt 'C 1 2/m 1'
_space_group_IT_number 12
_space_group_name_Hall '-C 2y'
loop_
_atom_site_label
_atom_site_fract_x
_atom_site_fract_y
_atom_site_fract_z
Na1 0.0000 0.1948 0.0000
Na2 0.0700 0.0000 0.3710
Na3 0.1674 0.3077 0.6733
Na4 0.2261 0.5000 0.0360
Ag1 0.1220 0.5000 0.3270
O1 0.0000 0.5000 0.0000
O2 0.0000 0.5000 0.5000
O3 0.1629 0.0000 0.6715
O4 0.1681 0.0000 0.1622